A relaxed ZrAgIr2 crystal, computed with PBE.

N(E_F) (states/eV/atom): 1.652
E (eV per atom): -7.51
ΔH_f (0 K) (eV/f.u.): -0.93
E above lowest polymorph (meV per atom): 140

The structure in POSCAR format:
```
ZrAgIr2
1.0
-2.351 0.371 4.461
-2.788 -4.091 1.030
4.790 0.666 -1.476
Ag Ir Zr
1 2 1
Cartesian
-0.284 -2.642 1.150
0.000 0.000 0.000
-0.065 -0.411 2.865
-2.570 -1.860 2.746
```

A relaxed ZrAgIr2 crystal, computed with PBE.

N(E_F) (states/eV/atom): 0.836
E (eV per atom): -7.51
ΔH_f (0 K) (eV/f.u.): -0.91
E above lowest polymorph (meV per atom): 146

The structure in POSCAR format:
```
ZrAgIr2
1.0
0.000 3.240 3.240
3.240 0.000 3.240
3.240 3.240 0.000
Ir Zr Ag
2 1 1
Cartesian
1.620 1.620 1.620
4.859 4.859 4.859
0.000 0.000 0.000
3.240 3.240 3.240
```

A relaxed Zr2AgIr crystal, computed with PBE.

N(E_F) (states/eV/atom): 0.869
E (eV per atom): -7.48
ΔH_f (0 K) (eV/f.u.): -1.12

The structure in POSCAR format:
```
Zr2AgIr
1.0
5.300 -0.009 -0.030
4.377 2.989 -0.030
1.069 0.329 4.829
Ag Ir Zr
1 1 2
Cartesian
5.523 1.701 2.486
2.631 0.810 1.024
9.566 2.946 0.177
8.075 2.487 3.406
```

A relaxed ZrAgIr2 crystal, computed with PBE.

N(E_F) (states/eV/atom): 0.983
E (eV per atom): -7.32
ΔH_f (0 K) (eV/f.u.): -0.14
E above lowest polymorph (meV per atom): 339

The structure in POSCAR format:
```
ZrAgIr2
1.0
5.454 0.009 -0.002
-2.480 4.858 -0.002
0.686 1.122 2.534
Ag Ir Zr
1 2 1
Cartesian
-0.897 2.990 1.266
0.000 0.000 0.000
1.487 2.433 -0.002
3.070 0.566 1.266
```

A relaxed ZrAg2Ir crystal, computed with PBE.

N(E_F) (states/eV/atom): 0.701
E (eV per atom): -5.94
ΔH_f (0 K) (eV/f.u.): -0.67
E above lowest polymorph (meV per atom): 86

The structure in POSCAR format:
```
ZrAg2Ir
1.0
4.986 -0.013 -0.010
1.488 4.759 0.010
-3.231 -2.381 2.959
Ag Ir Zr
2 1 1
Cartesian
6.474 4.746 0.000
2.496 -0.011 1.474
3.237 2.373 0.000
0.747 2.376 1.484
```

A relaxed ZrAg2Ir crystal, computed with PBE.

N(E_F) (states/eV/atom): 0.997
E (eV per atom): -5.64
ΔH_f (0 K) (eV/f.u.): 0.53
E above lowest polymorph (meV per atom): 386

The structure in POSCAR format:
```
ZrAg2Ir
1.0
3.673 0.000 0.000
0.000 3.673 0.000
0.000 0.000 5.412
Ag Ir Zr
2 1 1
Cartesian
0.000 0.000 0.032
0.000 0.000 2.674
1.836 1.836 1.353
1.836 1.836 4.059
```

A relaxed Zr2AgIr crystal, computed with PBE.

N(E_F) (states/eV/atom): 0.295
E (eV per atom): -7.42
ΔH_f (0 K) (eV/f.u.): -0.88

The structure in POSCAR format:
```
Zr2AgIr
1.0
-4.613 -0.857 -0.035
-1.816 -2.938 -3.175
-1.617 -4.195 1.341
Ag Ir Zr
1 1 2
Cartesian
-4.023 -3.995 -0.935
-6.035 -5.992 -1.402
0.000 0.000 0.000
-2.012 -1.997 -0.467
```

A relaxed Zr2AgIr crystal, computed with PBE.

N(E_F) (states/eV/atom): 1.216
E (eV per atom): -7.25
ΔH_f (0 K) (eV/f.u.): -0.17

The structure in POSCAR format:
```
Zr2AgIr
1.0
-3.710 -5.252 4.056
6.173 -4.437 -0.099
2.153 -3.616 4.413
Ir Zr Ag
2 4 2
Cartesian
0.000 0.000 0.000
-0.163 -6.857 5.223
-1.135 -4.920 3.763
4.058 -4.156 1.410
2.329 -6.195 4.797
3.979 -11.341 6.768
1.231 -4.845 1.978
4.779 -6.449 3.146
```

A relaxed ZrAgIr4 crystal, computed with PBE.

N(E_F) (states/eV/atom): 1.310
E (eV per atom): -8.04
ΔH_f (0 K) (eV/f.u.): -1.42

The structure in POSCAR format:
```
ZrAgIr4
1.0
0.000 3.697 3.697
3.697 0.000 3.697
3.697 3.697 0.000
Zr Ag Ir
1 1 4
Cartesian
5.545 5.545 5.545
0.000 0.000 0.000
2.771 4.622 4.622
4.622 4.622 2.771
4.622 2.771 4.622
2.771 2.771 2.771
```

A relaxed Zr2AgIr crystal, computed with PBE.

N(E_F) (states/eV/atom): 1.039
E (eV per atom): -7.45
ΔH_f (0 K) (eV/f.u.): -0.99

The structure in POSCAR format:
```
Zr2AgIr
1.0
3.500 0.000 0.000
0.000 3.500 0.000
0.000 0.000 6.315
Ag Ir Zr
1 1 2
Cartesian
0.000 0.000 3.188
1.750 1.750 4.831
0.000 0.000 6.082
1.750 1.750 1.689
```

A relaxed ZrAg2Ir crystal, computed with PBE.

N(E_F) (states/eV/atom): 0.688
E (eV per atom): -5.81
ΔH_f (0 K) (eV/f.u.): -0.13
E above lowest polymorph (meV per atom): 219

The structure in POSCAR format:
```
ZrAg2Ir
1.0
-3.341 3.830 -0.863
-1.999 -1.326 1.857
1.647 2.277 3.731
Ag Ir Zr
2 1 1
Cartesian
-0.034 -0.016 0.057
-0.143 0.492 2.737
-1.758 2.153 0.966
-1.935 2.629 3.760
```

A relaxed ZrAgIr2 crystal, computed with PBE.

N(E_F) (states/eV/atom): 1.266
E (eV per atom): -7.27
ΔH_f (0 K) (eV/f.u.): 0.06
E above lowest polymorph (meV per atom): 388

The structure in POSCAR format:
```
ZrAgIr2
1.0
-1.335 -1.478 2.014
1.813 -2.144 -0.371
5.121 3.321 5.831
Ag Ir Zr
1 2 1
Cartesian
4.153 0.727 5.278
0.090 0.059 0.103
1.416 -1.048 2.161
2.501 1.622 2.847
```